## MoP2Br (PBE-GGA)

Data for an optimized crystal structure of MoP2Br.

Cell lengths 8.846, 8.846, 8.846 Å; angles 20.55, 20.55, 20.55 degrees
Sites, in units of the cell vectors:
Mo: 0.000 0.000 0.000
P: 0.463 0.463 0.463
P: 0.743 0.743 0.743
Br: 0.263 0.263 0.263

Computed properties:
* ΔE_f (raw): 184 meV per atom
* symmetry: R3m
* E: -5.647 eV/atom